A geometry-optimized IrRuSe2N structure. Source: the Alexandria database, functional GGA-PBEsol.

Geometry as POSCAR:
```
IrRuSe2N
1.0
4.959 0.000 0.000
0.000 4.959 0.000
0.000 0.000 3.557
Ir Ru Se N
1 1 2 1
Direct
0.000 0.000 0.000 Ir
0.500 0.500 0.500 Ru
0.000 0.500 0.000 Se
0.500 0.000 0.000 Se
0.000 0.000 0.500 N
```

## Properties
The formation energy from raw total energies comes out at 0.943 eV per atom. Its final energy is -0.2316 Ha/atom. Its space group is P4/mmm, No. 123. The calculation puts the total magnetization at 0.45 μB per cell.